! K2CdH6 GGA-PBE relaxed; values from VASP
! Space-group type ... Fm-3m (225)
&SYSTEM
  ibrav = 0, nat = 9, ntyp = 3
/
ATOMIC_SPECIES
H 1.01 H.upf
K 39.10 K.upf
Cd 112.41 Cd.upf
CELL_PARAMETERS angstrom
4.9493 0.0000 2.8575
1.6498 4.6662 2.8575
0.0000 0.0000 5.7149
ATOMIC_POSITIONS crystal
H 0.2304 0.7696 0.2304
H 0.7696 0.2304 0.2304
H 0.2304 0.7696 0.7696
H 0.7696 0.2304 0.7696
H 0.7696 0.7696 0.2304
H 0.2304 0.2304 0.7696
K 0.7500 0.7500 0.7500
K 0.2500 0.2500 0.2500
Cd 0.0000 0.0000 0.0000

=====

! K3CdH4 GGA-PBE relaxed; values from VASP
! Space-group type ... Pmn2_1 (31)
&SYSTEM
  ibrav = 0, nat = 16, ntyp = 3
/
ATOMIC_SPECIES
K 39.10 K.upf
Cd 112.41 Cd.upf
H 1.01 H.upf
CELL_PARAMETERS angstrom
5.8170 0.0000 0.0000
0.0000 9.2999 0.0000
0.0000 0.0000 8.1484
ATOMIC_POSITIONS crystal
K 0.4990 0.8953 0.0000
K 0.0095 0.6952 0.2618
K 0.5095 0.3048 0.2382
K 0.9990 0.1047 0.5000
K 0.5095 0.3048 0.7618
K 0.0095 0.6952 0.7382
Cd 0.0002 0.0901 0.0000
Cd 0.5002 0.9099 0.5000
H 0.0075 0.8830 0.0000
H 0.6975 0.1483 0.0000
H 0.1460 0.1443 0.1882
H 0.6460 0.8557 0.3118
H 0.1975 0.8517 0.5000
H 0.5075 0.1170 0.5000
H 0.6460 0.8557 0.6882
H 0.1460 0.1443 0.8118

=====

Number 1: calculated total energy -2.34 eV per atom. Number 2: calculated total energy -2.29 eV per atom.